# AcTbDy2 (GGA-PBE, relaxed)
# Excess energy over the best structure of this formula in the dataset: 0.23 kcal/mol of atoms
data_AcTbDy2
_space_group_name_H-M_alt 'P 4/m m m'
_space_group_IT_number 123
_space_group_name_Hall '-P 4 2'
_cell_length_a 3.699
_cell_length_b 3.699
_cell_length_c 10.121
_cell_angle_alpha 90.00
_cell_angle_beta 90.00
_cell_angle_gamma 90.00
loop_
_atom_site_label
_atom_site_type_symbol
_atom_site_fract_x
_atom_site_fract_y
_atom_site_fract_z
Ac1 Ac 0.000 0.000 0.000
Tb1 Tb 0.000 0.000 0.500
Dy1 Dy 0.500 0.500 0.264

=====

AcTb4Dy15: relaxed, GGA-PBE.

The structure in CIF format:
```
data_AcTb4Dy15
_space_group_name_H-M_alt 'P 4/m m m'
_space_group_IT_number 123
_space_group_name_Hall '-P 4 2'
_cell_length_a 5.045
_cell_length_b 5.045
_cell_length_c 25.206
_cell_angle_alpha 90.00
_cell_angle_beta 90.00
_cell_angle_gamma 90.00
loop_
_atom_site_label
_atom_site_type_symbol
_atom_site_fract_x
_atom_site_fract_y
_atom_site_fract_z
Ac1 Ac 0.000 0.000 0.000
Tb1 Tb 0.000 0.000 0.203
Tb2 Tb 0.000 0.000 0.401
Dy1 Dy 0.000 0.500 0.105
Dy2 Dy 0.000 0.500 0.302
Dy3 Dy 0.000 0.500 0.500
Dy4 Dy 0.500 0.500 0.000
Dy5 Dy 0.500 0.500 0.204
Dy6 Dy 0.500 0.500 0.401
```

=====

# AcTb8Dy6 (GGA-PBE, relaxed)
# Excess energy over the best structure of this formula in the dataset: 1.66 kcal/mol of atoms
data_AcTb8Dy6
_space_group_name_H-M_alt 'R -3'
_space_group_IT_number 148
_space_group_name_Hall '-R 3'
_cell_length_a 9.6883
_cell_length_b 9.6883
_cell_length_c 18.1705
_cell_angle_alpha 90.00
_cell_angle_beta 90.00
_cell_angle_gamma 120.00
loop_
_atom_site_label
_atom_site_type_symbol
_atom_site_fract_x
_atom_site_fract_y
_atom_site_fract_z
Ac1 Ac 0.0000 0.0000 0.0000
Tb1 Tb 0.0000 0.0000 0.2373
Tb2 Tb 0.0448 0.2869 0.8994
Dy1 Dy 0.0249 0.2347 0.4073

=====

Number 1: N(E_F) 6.1 states/eV/cell, energy relative to the elements 0.2 eV/f.u.. Number 2: N(E_F) 27.2 states/eV/cell, energy relative to the elements 0.6 eV/f.u.. Number 3: N(E_F) 64.1 states/eV/cell, energy relative to the elements 3.3 eV/f.u..